BaY2MgNi after structural relaxation, computed with GGA-PBE.

Cell lengths 5.3577, 5.3577, 5.3333 Å; angles 90.00, 90.00, 90.00 degrees
Closest atoms and distances in Å follow each position.
Fractional coordinates of all 5 atoms:
Y1 0.0000 0.5000 0.0000  2 Ni 2.68
Y2 0.5000 0.0000 0.0000  2 Ni 2.68
Ni1 0.0000 0.0000 0.0000  2 Mg 2.67, 4 Y 2.68
Mg1 0.0000 0.0000 0.5000  2 Ni 2.67
Ba1 0.5000 0.5000 0.5000  8 Y 3.78, 4 Mg 3.79

Output
Energy of formation ... -0.053 eV per atom
Symmetry ... P4/mmm (123)
Total moment ... 0.0 Bohr magnetons per cell
Final energy ... -4.499 eV per atom
DOS at the Fermi energy ... 0.66 states/eV per atom
Calculated volume ... 153.1 Å³/f.u.